[1]
First-principles (PBE-GGA) data for a relaxed TaReMo crystal, as listed in the Alexandria database.

Lattice parameters (Å, degrees): 4.341 4.341 4.341 60.00 60.00 60.00
Atoms (fractional coordinates):
Mo  0.500  0.500  0.500
Re  0.750  0.750  0.750
Ta  0.000  0.000  0.000

**E_form**: 0.513 eV/atom
**DOS(E_F)**: 4.0 states/eV/cell
**E_tot**: -33.59 eV/cell
**Offset from the most stable computed form**: 751 meV per atom

---

[2]
First-principles (PBE-GGA) data for a relaxed Dy3ErHg2 crystal, as listed in the Alexandria database.

Lattice parameters (Å, degrees): 7.084 7.469 8.845 114.97 113.61 90.00
Atoms (fractional coordinates):
Dy  0.500  0.250  0.000
Dy  0.500  0.750  0.000
Dy  0.772  0.022  0.544
Dy  0.228  0.478  0.456
Dy  0.228  0.978  0.456
Dy  0.772  0.522  0.544
Er  0.000  0.500  0.000
Er  0.000  0.000  0.000
Hg  0.561  0.360  0.721
Hg  0.841  0.140  0.279
Hg  0.159  0.860  0.721
Hg  0.439  0.640  0.279

**E_form**: -0.096 eV/atom
**DOS(E_F)**: 10.1 states/eV/cell
**E_tot**: -39.10 eV/cell
**Offset from the most stable computed form**: 265 meV per atom

---

[3]
First-principles (PBE-GGA) data for a relaxed TlPd2SeN crystal, as listed in the Alexandria database.

Lattice parameters (Å, degrees): 3.964 7.194 3.964 90.00 90.00 90.00
Atoms (fractional coordinates):
Tl  0.500  0.500  0.500
Se  0.000  0.500  0.000
Pd  0.000  0.000  0.500
Pd  0.500  0.000  0.000
N  0.000  0.000  0.000

**Formation energy (no corrections)**: 38.3 kJ per mole of atoms
**DOS(E_F)**: 3.2 states/eV/cell
**E_tot**: -22.58 eV/cell

---

[4]
First-principles (PBE-GGA) data for a relaxed Zn4CuPt3 crystal, as listed in the Alexandria database.

Lattice parameters (Å, degrees): 4.033 4.033 7.607 105.33 105.37 90.00
Atoms (fractional coordinates):
Zn  0.376  0.376  0.752
Zn  0.624  0.624  0.248
Zn  0.124  0.124  0.248
Zn  0.876  0.876  0.752
Pt  0.000  0.500  0.000
Pt  0.750  0.250  0.500
Pt  0.250  0.750  0.500
Cu  0.500  0.000  0.000

**E_form**: -0.457 eV/atom
**DOS(E_F)**: 2.5 states/eV/cell
**E_tot**: -30.97 eV/cell

---

[5]
First-principles (PBE-GGA) data for a relaxed Hf2ZnCoH crystal, as listed in the Alexandria database.

Lattice parameters (Å, degrees): 4.502 4.502 3.413 90.00 90.00 90.00
Site moments in Bohr magnetons follow the coordinates.
Atoms (fractional coordinates):
Co  0.000  0.000  0.500  0.18
Zn  0.500  0.500  0.500  0.01
Hf  0.000  0.500  0.000  0.03
Hf  0.500  0.000  0.000  0.03
H  0.000  0.000  0.000  0.00

**DOS(E_F)**: 3.5 states/eV/cell
**E_tot**: -32.99 eV/cell

---

[6]
First-principles (PBE-GGA) data for a relaxed Na2AlCdCl crystal, as listed in the Alexandria database.

Lattice parameters (Å, degrees): 5.962 5.153 5.962 90.00 90.00 90.00
Atoms (fractional coordinates):
Na  0.000  0.000  0.500
Na  0.500  0.000  0.000
Cl  0.000  0.500  0.000
Al  0.000  0.000  0.000
Cd  0.500  0.500  0.500

**Formation energy (no corrections)**: 0.2 kJ per mole of atoms
**DOS(E_F)**: 3.3 states/eV/cell
**E_tot**: -9.13 eV/cell

---

[7]
First-principles (PBE-GGA) data for a relaxed Er2ZrCuS5 crystal, as listed in the Alexandria database.

Lattice parameters (Å, degrees): 3.708 8.293 11.454 90.00 90.00 102.92
Atoms (fractional coordinates):
Er  0.873  0.745  0.821
Er  0.112  0.224  0.691
Er  0.127  0.255  0.321
Er  0.888  0.776  0.191
Zr  0.813  0.626  0.517
Zr  0.187  0.374  0.017
Cu  0.559  0.117  0.940
Cu  0.441  0.883  0.440
S  0.352  0.703  0.009
S  0.690  0.380  0.852
S  0.493  0.985  0.768
S  0.291  0.583  0.678
S  0.964  0.927  0.549
S  0.648  0.297  0.509
S  0.310  0.620  0.352
S  0.507  0.015  0.268
S  0.709  0.417  0.178
S  0.036  0.073  0.049

**Formation energy (no corrections)**: -151.0 kJ per mole of atoms
**DOS(E_F)**: 2.5 states/eV/cell
**E_tot**: -112.98 eV/cell

---

[8]
First-principles (PBE-GGA) data for a relaxed ZrTa3Re crystal, as listed in the Alexandria database.

Lattice parameters (Å, degrees): 4.858 4.858 4.858 90.00 90.00 90.00
Atoms (fractional coordinates):
Re  0.000  0.000  0.000
Zr  0.500  0.500  0.500
Ta  0.000  0.500  0.000
Ta  0.000  0.000  0.500
Ta  0.500  0.000  0.000

**E_form**: 1.050 eV/atom
**DOS(E_F)**: 5.7 states/eV/cell
**E_tot**: -51.30 eV/cell
**Offset from the most stable computed form**: 0 meV per atom